# KTaAs2 GGA-PBE optimized geometry
# Energy relative to the lowest polymorph listed for this composition ... 0.198 eV per atom
# V ... 139.3 Å³/f.u.
data_KTaAs2
_chemical_formula_sum 'K4 Ta4 As8'
_symmetry_space_group_name_H-M 'I -4 2 d'
_symmetry_Int_Tables_number 122
_symmetry_space_group_name_Hall 'I -4 2bw'
_cell_length_a 7.145
_cell_length_b 7.145
_cell_length_c 10.912
_cell_angle_alpha 90.00
_cell_angle_beta 90.00
_cell_angle_gamma 90.00
loop_
_atom_site_label
_atom_site_type_symbol
_atom_site_fract_x
_atom_site_fract_y
_atom_site_fract_z
K1 K 0.000 0.000 0.000
Ta1 Ta 0.000 0.000 0.500
As1 As 0.140 0.250 0.625